# GGA-PBE LiPr2Mg6, optimized geometry
data_LiPr2Mg6
_chemical_formula_sum 'Li2 Pr4 Mg12'
_cell_length_a 11.831
_cell_length_b 6.810
_cell_length_c 5.716
_cell_angle_alpha 90.00
_cell_angle_beta 90.25
_cell_angle_gamma 90.00
_symmetry_space_group_name_H-M 'C 1 2/m 1'
_symmetry_Int_Tables_number 12
loop_
_symmetry_equiv_pos_as_xyz
'x,y,z'
'-x,-y,-z'
'-x,y,-z'
'x,-y,z'
'x+1/2,y+1/2,z'
'-x+1/2,-y+1/2,-z'
'-x+1/2,y+1/2,-z'
'x+1/2,-y+1/2,z'
loop_
_atom_site_label
_atom_site_fract_x
_atom_site_fract_y
_atom_site_fract_z
_atom_site_occupancy
Li1 0.000 0.000 0.000 1
Pr1 0.166 0.500 0.200 1
Mg1 0.089 0.265 0.703 1
Mg2 0.177 0.000 0.295 1
# VASP energy in eV/atom: -2.3914
# Energy of formation from the pure elements in eV per formula unit: -0.48